Version w
The following is a PBE-GGA calculation of SnSb3 after structural relaxation, from Alexandria.

```
data_SnSb3
_chemical_formula_sum 'Sn2 Sb6'
_space_group_name_H-M_alt 'I 4/m m m'
_space_group_IT_number 139
_space_group_name_Hall '-I 4 2'
_cell_length_a 4.399
_cell_length_b 4.399
_cell_length_c 12.332
_cell_angle_alpha 90.00
_cell_angle_beta 90.00
_cell_angle_gamma 90.00
loop_
_atom_site_label
_atom_site_type_symbol
_atom_site_fract_x
_atom_site_fract_y
_atom_site_fract_z
Sn1 Sn 0.000 0.000 0.000
Sb1 Sb 0.000 0.000 0.251
Sb2 Sb 0.000 0.000 0.500
```

---

Version x
The following is a PBE-GGA calculation of SnSb3 after structural relaxation, from Alexandria.

```
data_SnSb3
_chemical_formula_sum 'Sn1 Sb3'
_space_group_name_H-M_alt 'P m m 2'
_space_group_IT_number 25
_space_group_name_Hall 'P 2 -2'
_cell_length_a 4.382
_cell_length_b 6.049
_cell_length_c 4.724
_cell_angle_alpha 90.00
_cell_angle_beta 90.00
_cell_angle_gamma 90.00
loop_
_atom_site_label
_atom_site_type_symbol
_atom_site_fract_x
_atom_site_fract_y
_atom_site_fract_z
Sn1 Sn 0.000 0.000 0.000
Sb1 Sb 0.000 0.500 0.106
Sb2 Sb 0.500 0.000 0.581
Sb3 Sb 0.500 0.500 0.521
```

---

Top of the stability list: version x, leading by 0.017 eV/atom.

---

Version w
The following is a PBE-GGA calculation of Sr2SnSb2 after structural relaxation, from Alexandria.

```
data_Sr2SnSb2
_chemical_formula_sum 'Sr4 Sn2 Sb4'
_space_group_name_H-M_alt 'I 4/m m m'
_space_group_IT_number 139
_space_group_name_Hall '-I 4 2'
_cell_length_a 5.795
_cell_length_b 5.795
_cell_length_c 11.720
_cell_angle_alpha 90.00
_cell_angle_beta 90.00
_cell_angle_gamma 90.00
loop_
_atom_site_label
_atom_site_type_symbol
_atom_site_fract_x
_atom_site_fract_y
_atom_site_fract_z
Sr1 Sr 0.000 0.500 0.250
Sn1 Sn 0.000 0.000 0.000
Sb1 Sb 0.000 0.000 0.381
```

---

Version x
The following is a PBE-GGA calculation of Sr2SnSb2 after structural relaxation, from Alexandria.

```
data_Sr2SnSb2
_chemical_formula_sum 'Sr8 Sn4 Sb8'
_space_group_name_H-M_alt 'I b a m'
_space_group_IT_number 72
_space_group_name_Hall '-I 2 2c'
_cell_length_a 7.502
_cell_length_b 13.926
_cell_length_c 7.142
_cell_angle_alpha 90.00
_cell_angle_beta 90.00
_cell_angle_gamma 90.00
loop_
_atom_site_label
_atom_site_type_symbol
_atom_site_fract_x
_atom_site_fract_y
_atom_site_fract_z
Sr1 Sr 0.188 0.138 0.000
Sn1 Sn 0.000 0.500 0.250
Sb1 Sb 0.244 0.376 0.000
```

---

Version y
The following is a PBE-GGA calculation of Sr2SnSb2 after structural relaxation, from Alexandria.

```
data_Sr2SnSb2
_chemical_formula_sum 'Sr4 Sn2 Sb4'
_space_group_name_H-M_alt 'P 4/m b m'
_space_group_IT_number 127
_space_group_name_Hall '-P 4 2ab'
_cell_length_a 8.343
_cell_length_b 8.343
_cell_length_c 4.765
_cell_angle_alpha 90.00
_cell_angle_beta 90.00
_cell_angle_gamma 90.00
loop_
_atom_site_label
_atom_site_type_symbol
_atom_site_fract_x
_atom_site_fract_y
_atom_site_fract_z
Sr1 Sr 0.175 0.325 0.000
Sn1 Sn 0.000 0.000 0.500
Sb1 Sb 0.127 0.627 0.500
```

---

Top of the stability list: version y, leading by 0.086 eV/atom.

---

Version w
The following is a PBE-GGA calculation of Sr3SnSb3 after structural relaxation, from Alexandria.

```
data_Sr3SnSb3
_chemical_formula_sum 'Sr6 Sn2 Sb6'
_space_group_name_H-M_alt 'P 63/m'
_space_group_IT_number 176
_space_group_name_Hall '-P 6c'
_cell_length_a 9.8267
_cell_length_b 9.8267
_cell_length_c 6.6499
_cell_angle_alpha 90.00
_cell_angle_beta 90.00
_cell_angle_gamma 120.00
loop_
_atom_site_label
_atom_site_type_symbol
_atom_site_fract_x
_atom_site_fract_y
_atom_site_fract_z
Sr1 Sr 0.0732 0.3860 0.2500
Sn1 Sn 0.3333 0.6667 0.7500
Sb1 Sb 0.0726 0.3593 0.7500
```

---

Version x
The following is a PBE-GGA calculation of Sr3SnSb3 after structural relaxation, from Alexandria.

```
data_Sr3SnSb3
_chemical_formula_sum 'Sr24 Sn8 Sb24'
_space_group_name_H-M_alt 'C m c e'
_space_group_IT_number 64
_space_group_name_Hall '-C 2ac 2'
_cell_length_a 20.953
_cell_length_b 7.198
_cell_length_c 13.824
_cell_angle_alpha 90.00
_cell_angle_beta 90.00
_cell_angle_gamma 90.00
loop_
_atom_site_label
_atom_site_type_symbol
_atom_site_fract_x
_atom_site_fract_y
_atom_site_fract_z
Sr1 Sr 0.000 0.194 0.140
Sr2 Sr 0.175 0.188 0.870
Sn1 Sn 0.088 0.000 0.500
Sb1 Sb 0.000 0.234 0.380
Sb2 Sb 0.166 0.223 0.627
```

---

Top of the stability list: version x, leading by 0.063 eV/atom.